Record 1
Here is crystalline CeHgSe2O8 at its relaxed geometry from Alexandria. Energies are from PBE.

Total energy (eV/cell): -67.261
DOS at the Fermi energy (states/eV per atom): 0.502

Cell lengths 5.717, 5.717, 9.361 Å; angles 92.72, 92.72, 62.83 degrees
Sites, in units of the cell vectors:
Ce  0.000  0.000  0.000
Hg  0.000  0.000  0.500
Se  0.358  0.358  0.203
Se  0.642  0.642  0.797
O  0.220  0.220  0.084
O  0.225  0.678  0.159
O  0.318  0.318  0.368
O  0.322  0.775  0.841
O  0.678  0.225  0.159
O  0.682  0.682  0.632
O  0.775  0.322  0.841
O  0.780  0.780  0.916

Record 2
Here is crystalline Ce2SmHgO4 at its relaxed geometry from Alexandria. Energies are from PBE.

Total energy (eV/cell): -59.629
DOS at the Fermi energy (states/eV per atom): 1.033

Cell lengths 4.016, 4.016, 9.139 Å; angles 90.00, 90.00, 90.00 degrees
Sites, in units of the cell vectors:
Ce  0.000  0.000  0.231
Ce  0.000  0.000  0.769
Sm  0.500  0.500  0.500
Hg  0.500  0.500  0.000
O  0.000  0.500  0.344
O  0.000  0.500  0.656
O  0.500  0.000  0.344
O  0.500  0.000  0.656

Record 3
Here is crystalline CeTc2HgO8 at its relaxed geometry from Alexandria. Energies are from PBE.

Total energy (eV/cell): -87.013
DOS at the Fermi energy (states/eV per atom): 0.751

Cell lengths 6.300, 6.300, 8.179 Å; angles 90.00, 90.00, 120.00 degrees
Sites, in units of the cell vectors:
Ce  0.000  0.000  0.000
Tc  0.333  0.667  0.226
Tc  0.667  0.333  0.774
Hg  0.000  0.000  0.500
O  0.177  0.359  0.150
O  0.183  0.823  0.150
O  0.333  0.667  0.436
O  0.359  0.183  0.850
O  0.641  0.817  0.150
O  0.667  0.333  0.564
O  0.817  0.177  0.850
O  0.823  0.641  0.850

Record 4
Here is crystalline CeHgTeO at its relaxed geometry from Alexandria. Energies are from PBE.

Total energy (eV/cell): -43.124
DOS at the Fermi energy (states/eV per atom): 0.782

Cell lengths 4.053, 4.053, 12.321 Å; angles 90.00, 90.00, 90.00 degrees
Sites, in units of the cell vectors:
Ce  0.250  0.250  0.097
Ce  0.750  0.750  0.903
Hg  0.250  0.750  0.500
Hg  0.750  0.250  0.500
Te  0.250  0.250  0.763
Te  0.750  0.750  0.237
O  0.250  0.750  0.000
O  0.750  0.250  0.000

no.,uncorrected formation energy (eV/atom)
1,-1.199
2,-2.863
3,-1.698
4,-1.807